Record 1
Below is crystalline Al2FeRe at its relaxed geometry, with properties calculated at the PBE-GGA level.

Properties
The energy of formation from the pure elements comes out at -3.1 kcal/mol of atoms. For the energy above the most stable polymorph in this dataset, the calculation gives 17 kJ/mol of formula units. As for the density of states at the Fermi level: 0.789 states/eV per atom. The calculation puts the theoretical density at 8.92 g cm⁻³.

Cell lengths 2.7234, 4.4023, 4.5940 Å; angles 90.00, 90.00, 90.00 degrees
With the nearest neighbours (Å) after each atom.
Fractional positions:
Al  0.0000  0.0000  0.0000  4 Re 2.64-2.70, 4 Fe 2.66, 4 Al 2.72-2.76
Al  0.0000  0.5000  0.3625  4 Fe 2.67, 4 Re 2.67, 4 Al 2.72-2.76
Fe  0.5000  0.5000  0.8619  8 Al 2.66-2.67, 2 Fe 2.72, 2 Re 2.74
Re  0.5000  0.0000  0.5081  8 Al 2.64-2.70, 2 Re 2.72, 2 Fe 2.74

---

Record 2
Below is crystalline Li12Zn2Ag5 at its relaxed geometry, with properties calculated at the PBE-GGA level.

Properties
The energy of formation from the pure elements comes out at -2.5 kcal/mol of atoms. As for the density of states at the Fermi level: 0.342 states/eV per atom. The calculation puts the theoretical density at 3.93 g cm⁻³.

Cell lengths 7.1268, 7.1268, 7.3777 Å; angles 98.35, 98.35, 59.48 degrees
With the nearest neighbours (Å) after each atom.
Fractional positions:
Li  0.0389  0.0389  0.1925  5 Li 2.67-2.84, 3 Ag 2.86-2.88
Li  0.1381  0.5275  0.7448  5 Li 2.67-2.96, 4 Ag 2.89-2.99, 1 Zn 2.97
Li  0.1624  0.6104  0.1627  4 Ag 2.55-2.75, 1 Zn 2.66, 2 Li 2.70-2.74
Li  0.2989  0.2989  0.4043  2 Ag 2.67-2.92, 6 Li 2.74-2.83, 2 Zn 2.79
Li  0.3896  0.8376  0.8373  4 Ag 2.55-2.75, 1 Zn 2.66, 2 Li 2.70-2.74
Li  0.4725  0.8619  0.2552  5 Li 2.67-2.96, 4 Ag 2.89-2.99, 1 Zn 2.97
Li  0.5275  0.1381  0.7448  5 Li 2.67-2.96, 4 Ag 2.89-2.99, 1 Zn 2.97
Li  0.6104  0.1624  0.1627  4 Ag 2.55-2.75, 1 Zn 2.66, 2 Li 2.70-2.74
Li  0.7011  0.7011  0.5957  2 Ag 2.67-2.92, 6 Li 2.74-2.83, 2 Zn 2.79
Li  0.8376  0.3896  0.8373  4 Ag 2.55-2.75, 1 Zn 2.66, 2 Li 2.70-2.74
Li  0.8619  0.4725  0.2552  5 Li 2.67-2.96, 4 Ag 2.89-2.99, 1 Zn 2.97
Li  0.9611  0.9611  0.8075  5 Li 2.67-2.84, 3 Ag 2.86-2.88
Zn  0.3151  0.6849  0.5000  1 Zn 2.61, 4 Li 2.66-2.79, 2 Ag 2.73
Zn  0.6849  0.3151  0.5000  1 Zn 2.61, 4 Li 2.66-2.79, 2 Ag 2.73
Ag  0.1262  0.1262  0.5790  7 Li 2.67-2.98, 2 Zn 2.73
Ag  0.2243  0.2243  0.0080  7 Li 2.59-2.89
Ag  0.5000  0.5000  0.0000  4 Li 2.55
Ag  0.7757  0.7757  0.9920  7 Li 2.59-2.89
Ag  0.8738  0.8738  0.4210  7 Li 2.67-2.98, 2 Zn 2.73